The following is a DFT calculation (GGA-PBE) of a relaxed ReGeAsO crystal.

Properties
E above lowest polymorph	264.1	meV per atom
space group	Pmc2_1 (26)

Cell lengths 2.857, 6.273, 6.972 Å; angles 90.00, 90.00, 90.00 degrees
Atoms (fractional coordinates):
1 Re 0.000 0.226 0.000
2 Re 0.000 0.774 0.500
3 Ge 0.500 0.429 0.552
4 Ge 0.500 0.571 0.052
5 As 0.000 0.137 0.342
6 As 0.000 0.863 0.842
7 O 0.500 0.280 0.785
8 O 0.500 0.720 0.285

=====

The following is a DFT calculation (GGA-PBE) of a relaxed Zr3TlP crystal.

Properties
space group	Cmcm (63)
E_tot	-7.322	eV per atom

Cell lengths 6.266, 6.266, 9.884 Å; angles 90.00, 90.00, 145.54 degrees
Atoms (fractional coordinates):
1 Zr 0.043 0.957 0.750
2 Zr 0.361 0.639 0.551
3 Zr 0.361 0.639 0.949
4 Zr 0.639 0.361 0.051
5 Zr 0.639 0.361 0.449
6 Zr 0.957 0.043 0.250
7 Tl 0.257 0.743 0.250
8 Tl 0.743 0.257 0.750
9 P 0.000 0.000 0.000
10 P 0.000 0.000 0.500

=====

The following is a DFT calculation (GGA-PBE) of a relaxed UCuHg crystal.

Properties
E above lowest polymorph	426.4	meV per atom
space group	F-43m (216)
formation enthalpy at 0 K	0.9128	eV/atom

Cell lengths 4.823, 4.823, 4.823 Å; angles 60.00, 60.00, 60.00 degrees
Atoms (fractional coordinates):
1 U 0.000 0.000 0.000
2 Cu 0.750 0.750 0.750
3 Hg 0.250 0.250 0.250

=====

The following is a DFT calculation (GGA-PBE) of a relaxed HfNbIr2 crystal.

Properties
space group	F-43m (216)
formation enthalpy at 0 K	-0.3517	eV/atom

Cell lengths 4.548, 4.548, 4.548 Å; angles 60.00, 60.00, 60.00 degrees
Atoms (fractional coordinates):
1 Hf 0.000 0.000 0.000
2 Nb 0.750 0.750 0.750
3 Ir 0.250 0.250 0.250
4 Ir 0.500 0.500 0.500

=====

The evaluated theoretical density for the records listed, in turn: 9.30; 7.70; 10.51; 16.38 g cm⁻³.